(1)
# TlGeAsPt | Alexandria via LeMat-Bulk | PBE | relaxed
# formation energy from the elements	-0.1880	eV per atom
# M_tot	0.000	μB/atom
# DFT total energy	-18.4	eV for the cell shown
data_TlGeAsPt
_chemical_formula_sum 'Tl1 Ge1 As1 Pt1'
_symmetry_space_group_name_H-M 'P 1'
_symmetry_Int_Tables_number 1
_cell_length_a 3.9663
_cell_length_b 4.2013
_cell_length_c 6.6568
_cell_angle_alpha 105.97
_cell_angle_beta 90.32
_cell_angle_gamma 117.91
loop_
_symmetry_equiv_pos_as_xyz
'x,y,z'
loop_
_atom_site_label
_atom_site_fract_x
_atom_site_fract_y
_atom_site_fract_z
Tl1 0.0000 0.0000 0.0000
Ge1 0.2229 0.4463 0.6566
As1 0.7820 0.5641 0.3583
Pt1 0.5050 0.0104 0.5148

***

(2)
# TlGeAsPt | Alexandria via LeMat-Bulk | PBE | relaxed
# formation energy from the elements	-0.1885	eV per atom
# M_tot	0.000	μB/atom
# DFT total energy	-36.9	eV for the cell shown
data_TlGeAsPt
_chemical_formula_sum 'Tl2 Ge2 As2 Pt2'
_symmetry_space_group_name_H-M 'C 1 m 1'
_symmetry_Int_Tables_number 8
_cell_length_a 7.0681
_cell_length_b 4.0597
_cell_length_c 6.9961
_cell_angle_alpha 90.00
_cell_angle_beta 108.53
_cell_angle_gamma 90.00
loop_
_symmetry_equiv_pos_as_xyz
'x,y,z'
'x,-y,z'
'x+1/2,y+1/2,z'
'x+1/2,-y+1/2,z'
loop_
_atom_site_label
_atom_site_fract_x
_atom_site_fract_y
_atom_site_fract_z
Tl1 0.0000 0.0000 0.0000
Ge1 0.0497 0.5000 0.6572
As1 0.2876 0.5000 0.3541
Pt1 0.1710 0.0000 0.5134

***

(3)
# TlGeAsPt | Alexandria via LeMat-Bulk | PBE | relaxed
# formation energy from the elements	0.0968	eV per atom
# M_tot	0.000	μB/atom
# DFT total energy	-34.6	eV for the cell shown
data_TlGeAsPt
_chemical_formula_sum 'Tl2 Ge2 As2 Pt2'
_symmetry_space_group_name_H-M 'C 1 m 1'
_symmetry_Int_Tables_number 8
_cell_length_a 11.2329
_cell_length_b 2.9560
_cell_length_c 6.4987
_cell_angle_alpha 90.00
_cell_angle_beta 97.22
_cell_angle_gamma 90.00
loop_
_symmetry_equiv_pos_as_xyz
'x,y,z'
'x,-y,z'
'x+1/2,y+1/2,z'
'x+1/2,-y+1/2,z'
loop_
_atom_site_label
_atom_site_fract_x
_atom_site_fract_y
_atom_site_fract_z
Tl1 0.0000 0.0000 0.0000
Ge1 0.1250 0.0000 0.4094
As1 0.3414 0.0000 0.3422
Pt1 0.0126 0.5000 0.6240